[1]
A crystal of Ba2VP2O9 relaxed with PBEsol. Source: the Alexandria database, functional meta-GGA SCAN.

Lattice parameters (Å, degrees): 5.4597 9.1891 9.4533 109.18 90.00 107.28
Sites, in units of the cell vectors:
O1 0.6342 0.0000 0.7500
O2 0.9591 0.1105 0.4348
O3 0.3835 0.3423 0.5600
O4 0.8847 0.7927 0.7839
O5 0.4367 0.3819 0.1015
O6 0.9451 0.3819 0.6015
O7 0.5633 0.6181 0.8985
O8 0.1153 0.2073 0.2161
O9 0.1513 0.1105 0.9348
O10 0.3658 0.0000 0.2500
O11 0.0549 0.6181 0.3985
O12 0.9588 0.3423 0.0600
O13 0.9079 0.7927 0.2839
O14 0.8487 0.8895 0.0652
O15 0.0409 0.8895 0.5652
O16 0.6165 0.6577 0.4400
O17 0.0412 0.6577 0.9400
O18 0.0921 0.2073 0.7161
V1 0.0658 0.0000 0.2500
V2 0.9342 0.0000 0.7500
Ba1 0.3543 0.6742 0.1726
Ba2 0.6457 0.3258 0.8274
Ba3 0.6800 0.3258 0.3274
Ba4 0.3200 0.6742 0.6726
P1 0.1009 0.2619 0.5745
P2 0.8991 0.7381 0.4255
P3 0.1610 0.2619 0.0745
P4 0.8390 0.7381 0.9255

Output
Spin magnetization, μB per formula unit: 1.00
Raw total energy, eV/atom: -15.3790
Space-group type: C2/c (15)
Volume, Å³ per atom: 15.19
Density, g cm⁻³: 4.2
Raw formation energy, eV/f.u.: -41.84

---

[2]
A crystal of KErO2 relaxed with PBEsol. Source: the Alexandria database, functional meta-GGA SCAN.

Lattice parameters (Å, degrees): 3.3957 3.3957 6.4518 74.74 74.74 60.00
Sites, in units of the cell vectors:
O1 0.2283 0.2283 0.3150
O2 0.7717 0.7717 0.6850
Er1 0.5000 0.5000 0.5000
K1 0.0000 0.0000 0.0000

Output
Spin magnetization, μB per formula unit: 0.00
Raw total energy, eV/atom: -20.8828
Space-group type: R-3m (166)
Volume, Å³ per atom: 15.34
Density, g cm⁻³: 6.4
Raw formation energy, eV/f.u.: -12.40

---

[3]
A crystal of Be2TcPb relaxed with PBEsol. Source: the Alexandria database, functional meta-GGA SCAN.

Lattice parameters (Å, degrees): 5.3788 5.4769 5.4769 76.05 60.59 60.59
Sites, in units of the cell vectors:
Be1 0.1678 0.9572 0.4572
Be2 0.3750 0.4572 0.0428
Be3 0.8750 0.5428 0.9572
Be4 0.5822 0.0428 0.5428
Pb1 0.0000 0.0000 0.0000
Pb2 0.7500 0.5000 0.5000
Tc1 0.2500 0.5000 0.5000
Tc2 0.5000 0.0000 0.0000

Output
Spin magnetization, μB per formula unit: 1.02
Raw total energy, eV/atom: -29.1178
Space-group type: I-42d (122)
Formation enthalpy at 0 K, kcal/mol of atoms: 17.7
Volume, Å³ per atom: 15.30
Density, g cm⁻³: 8.8

---

[4]
A crystal of Ca2ZnFe relaxed with PBEsol. Source: the Alexandria database, functional meta-GGA SCAN.

Lattice parameters (Å, degrees): 3.4798 3.4798 9.2888 79.20 79.20 60.00
Sites, in units of the cell vectors:
Fe1 0.5000 0.5000 0.5000
Ca1 0.2460 0.2460 0.2619
Ca2 0.7540 0.7540 0.7381
Zn1 0.0000 0.0000 0.0000

Output
Spin magnetization, μB per formula unit: 2.83
Raw total energy, eV/atom: -12.2496
Space-group type: R-3m (166)
Formation enthalpy at 0 K, kcal/mol of atoms: 11.4
Volume, Å³ per atom: 23.78
Density, g cm⁻³: 3.5